No. 1
{
  "formula": "LaIn3As",
  "functional": "SCAN",
  "state": "PBEsol geometry",
  "m_tot_mub_per_cell": 0.00,
  "n_ef_per_ev_cell": 4.17,
  "density_g_cm3": 4.60,
  "total_energy_ev_per_cell": -158.4,
  "formation_energy_ev_per_atom": 1.013,
  "lattice": [[5.864, 0.000, 0.000], [0.000, 5.864, 0.000], [0.000, 0.000, 5.864]],
  "species": ["La", "In", "In", "In", "As"],
  "fractional_positions": [[0.000, 0.000, 0.000], [0.000, 0.000, 0.500], [0.000, 0.500, 0.000], [0.500, 0.000, 0.000], [0.500, 0.500, 0.500]]
}

---

No. 2
{
  "formula": "CrIrPb",
  "functional": "SCAN",
  "state": "PBEsol geometry",
  "m_tot_mub_per_cell": 4.14,
  "n_ef_per_ev_cell": 1.88,
  "density_g_cm3": 12.46,
  "total_energy_ev_per_cell": -163.4,
  "formation_energy_ev_per_atom": 0.613,
  "lattice": [[0.000, 3.110, 3.110], [3.110, 0.000, 3.110], [3.110, 3.110, 0.000]],
  "species": ["Cr", "Ir", "Pb"],
  "fractional_positions": [[0.000, 0.000, 0.000], [0.500, 0.500, 0.500], [0.750, 0.750, 0.750]]
}

---

No. 3
{
  "formula": "MoRh2O6",
  "functional": "SCAN",
  "state": "PBEsol geometry",
  "e_form_raw_ev_per_atom": -1.4715,
  "m_tot_mub_per_cell": 0.00,
  "n_ef_per_ev_cell": 6.08,
  "density_g_cm3": 6.96,
  "total_energy_ev_per_cell": -306.1,
  "lattice": [[4.588, 0.000, 0.000], [0.000, 4.588, 0.000], [0.000, 0.000, 9.024]],
  "species": ["Mo", "Mo", "Rh", "Rh", "Rh", "Rh", "O", "O", "O", "O", "O", "O", "O", "O", "O", "O", "O", "O"],
  "fractional_positions": [[0.000, 0.000, 0.000], [0.500, 0.500, 0.500], [0.000, 0.000, 0.331], [0.000, 0.000, 0.669], [0.500, 0.500, 0.169], [0.500, 0.500, 0.831], [0.197, 0.197, 0.500], [0.198, 0.198, 0.158], [0.198, 0.198, 0.842], [0.302, 0.698, 0.342], [0.302, 0.698, 0.658], [0.303, 0.697, 0.000], [0.697, 0.303, 0.000], [0.698, 0.302, 0.342], [0.698, 0.302, 0.658], [0.802, 0.802, 0.158], [0.802, 0.802, 0.842], [0.803, 0.803, 0.500]]
}

---

No. 4
{
  "formula": "MgInHg",
  "functional": "SCAN",
  "state": "PBEsol geometry",
  "m_tot_mub_per_cell": 0.00,
  "n_ef_per_ev_cell": 1.18,
  "density_g_cm3": 8.41,
  "total_energy_ev_per_cell": -106.9,
  "formation_energy_ev_per_atom": -0.127,
  "lattice": [[-1.699, 2.135, 4.625], [1.699, -2.135, 4.625], [1.699, 2.135, -4.625]],
  "species": ["Mg", "In", "Hg"],
  "fractional_positions": [[0.000, 0.000, 0.000], [0.329, 0.329, 0.000], [0.660, 0.660, 0.000]]
}

---

No. 5
{
  "formula": "NiMo2Au",
  "functional": "SCAN",
  "state": "PBEsol geometry",
  "polymorph_energy_ev_per_fu": 0.00,
  "m_tot_mub_per_cell": 0.00,
  "n_ef_per_ev_cell": 3.51,
  "density_g_cm3": 12.95,
  "total_energy_ev_per_cell": -154.6,
  "formation_energy_ev_per_atom": 0.129,
  "lattice": [[2.661, 0.000, 0.000], [0.000, 4.032, 0.000], [0.000, 0.000, 5.351]],
  "species": ["Ni", "Mo", "Mo", "Au"],
  "fractional_positions": [[0.000, 0.000, 0.000], [0.500, 0.500, 0.226], [0.500, 0.500, 0.774], [0.000, 0.000, 0.500]]
}

---

No. 6
{
  "formula": "SrLiTc2",
  "functional": "SCAN",
  "state": "PBEsol geometry",
  "polymorph_energy_ev_per_fu": 0.22,
  "m_tot_mub_per_cell": 0.00,
  "n_ef_per_ev_cell": 2.46,
  "density_g_cm3": 7.02,
  "total_energy_ev_per_cell": -91.7,
  "formation_energy_ev_per_atom": 0.770,
  "lattice": [[2.611, -5.100, 0.000], [2.611, 5.100, 0.000], [-0.699, 0.000, 2.580]],
  "species": ["Sr", "Li", "Tc", "Tc"],
  "fractional_positions": [[0.000, 0.000, 0.000], [0.500, 0.500, 0.000], [0.000, 0.500, 0.500], [0.500, 0.000, 0.500]]
}

---

No. 7
{
  "formula": "AgPt2Au",
  "functional": "SCAN",
  "state": "PBEsol geometry",
  "polymorph_energy_ev_per_fu": 0.02,
  "m_tot_mub_per_cell": 0.00,
  "n_ef_per_ev_cell": 1.99,
  "density_g_cm3": 18.21,
  "total_energy_ev_per_cell": -240.9,
  "formation_energy_ev_per_atom": 0.004,
  "lattice": [[2.779, 0.000, 0.000], [0.000, 4.748, 0.000], [0.000, 0.000, 4.805]],
  "species": ["Ag", "Pt", "Pt", "Au"],
  "fractional_positions": [[0.000, 0.000, 0.000], [0.000, 0.500, 0.500], [0.500, 0.000, 0.500], [0.500, 0.500, 0.000]]
}

---

No. 8
{
  "formula": "K2NaScBr6",
  "functional": "SCAN",
  "state": "PBEsol geometry",
  "e_form_raw_ev_per_atom": -1.8830,
  "m_tot_mub_per_cell": 0.00,
  "n_ef_per_ev_cell": 0.00,
  "density_g_cm3": 3.26,
  "total_energy_ev_per_cell": -170.7,
  "lattice": [[0.000, 5.420, 5.420], [5.420, 0.000, 5.420], [5.420, 5.420, 0.000]],
  "species": ["K", "K", "Na", "Sc", "Br", "Br", "Br", "Br", "Br", "Br"],
  "fractional_positions": [[0.250, 0.250, 0.250], [0.750, 0.750, 0.750], [0.000, 0.000, 0.000], [0.500, 0.500, 0.500], [0.259, 0.259, 0.741], [0.259, 0.741, 0.259], [0.259, 0.741, 0.741], [0.741, 0.259, 0.259], [0.741, 0.259, 0.741], [0.741, 0.741, 0.259]]
}

---

No. 9
{
  "formula": "SiBiSb2H",
  "functional": "SCAN",
  "state": "PBEsol geometry",
  "m_tot_mub_per_cell": 0.00,
  "n_ef_per_ev_cell": 1.63,
  "density_g_cm3": 6.33,
  "total_energy_ev_per_cell": -162.3,
  "lattice": [[5.876, 0.000, 0.000], [0.000, 5.876, 0.000], [0.000, 0.000, 3.660]],
  "species": ["Si", "Bi", "Sb", "Sb", "H"],
  "fractional_positions": [[0.000, 0.000, 0.000], [0.500, 0.500, 0.500], [0.000, 0.500, 0.500], [0.500, 0.000, 0.500], [0.500, 0.500, 0.000]]
}

---

No. 10
{
  "formula": "Sr2HgSb",
  "functional": "SCAN",
  "state": "PBEsol geometry",
  "e_form_raw_ev_per_atom": -0.9630,
  "polymorph_energy_ev_per_fu": 0.00,
  "m_tot_mub_per_cell": 0.00,
  "n_ef_per_ev_cell": 1.03,
  "density_g_cm3": 6.33,
  "total_energy_ev_per_cell": -153.8,
  "lattice": [[4.721, 0.000, 0.000], [0.000, 2.304, 6.003], [0.000, -2.304, 6.003]],
  "species": ["Sr", "Sr", "Hg", "Sb"],
  "fractional_positions": [[0.000, 0.000, 0.000], [0.500, 0.273, 0.273], [0.500, 0.547, 0.547], [0.000, 0.716, 0.716]]
}

---

No. 11
{
  "formula": "LiCu2O2",
  "functional": "SCAN",
  "state": "PBEsol geometry",
  "e_form_raw_ev_per_atom": -1.1371,
  "m_tot_mub_per_cell": 4.03,
  "density_g_cm3": 5.57,
  "total_energy_ev_per_cell": -203.7,
  "lattice": [[5.640, 0.000, 0.000], [0.000, 2.843, 0.000], [0.000, 0.000, 12.345]],
  "species": ["Li", "Li", "Li", "Li", "Cu", "Cu", "Cu", "Cu", "Cu", "Cu", "Cu", "Cu", "O", "O", "O", "O", "O", "O", "O", "O"],
  "fractional_positions": [[0.133, 0.250, 0.072], [0.367, 0.750, 0.572], [0.633, 0.250, 0.428], [0.867, 0.750, 0.928], [0.121, 0.250, 0.757], [0.125, 0.250, 0.401], [0.375, 0.750, 0.901], [0.379, 0.750, 0.257], [0.621, 0.250, 0.743], [0.625, 0.250, 0.099], [0.875, 0.750, 0.599], [0.879, 0.750, 0.243], [0.115, 0.250, 0.608], [0.133, 0.250, 0.907], [0.367, 0.750, 0.407], [0.385, 0.750, 0.108], [0.615, 0.250, 0.892], [0.633, 0.250, 0.593], [0.867, 0.750, 0.093], [0.885, 0.750, 0.392]]
}

---

No. 12
{
  "formula": "ZrZnSI2",
  "functional": "SCAN",
  "state": "PBEsol geometry",
  "e_form_raw_ev_per_atom": 0.3063,
  "m_tot_mub_per_cell": 1.30,
  "n_ef_per_ev_cell": 4.05,
  "density_g_cm3": 4.49,
  "total_energy_ev_per_cell": -125.8,
  "lattice": [[5.485, 0.000, 0.000], [0.000, 5.485, 0.000], [0.000, 0.000, 5.439]],
  "species": ["Zr", "Zn", "S", "I", "I"],
  "fractional_positions": [[0.000, 0.000, 0.000], [0.000, 0.000, 0.500], [0.500, 0.500, 0.500], [0.000, 0.500, 0.000], [0.500, 0.000, 0.000]]
}

---

No. 13
{
  "formula": "LaCoRe2",
  "functional": "SCAN",
  "state": "PBEsol geometry",
  "polymorph_energy_ev_per_fu": 0.00,
  "m_tot_mub_per_cell": 1.89,
  "n_ef_per_ev_cell": 3.24,
  "density_g_cm3": 14.44,
  "total_energy_ev_per_cell": -200.2,
  "formation_energy_ev_per_atom": 0.601,
  "lattice": [[1.418, 0.819, 9.420], [-1.418, 0.819, 9.420], [0.000, -1.637, 9.420]],
  "species": ["La", "Co", "Re", "Re"],
  "fractional_positions": [[0.000, 0.000, 0.000], [0.757, 0.757, 0.757], [0.234, 0.234, 0.234], [0.493, 0.493, 0.493]]
}

---

No. 14
{
  "formula": "CaSeBr2O",
  "functional": "SCAN",
  "state": "PBEsol geometry",
  "e_form_raw_ev_per_atom": -0.5828,
  "polymorph_energy_ev_per_fu": 0.00,
  "m_tot_mub_per_cell": 0.00,
  "n_ef_per_ev_cell": 1.35,
  "density_g_cm3": 4.80,
  "total_energy_ev_per_cell": -77.8,
  "lattice": [[4.858, 0.000, 0.000], [0.000, 4.858, 0.000], [0.000, 0.000, 4.324]],
  "species": ["Ca", "Se", "Br", "Br", "O"],
  "fractional_positions": [[0.000, 0.000, 0.000], [0.500, 0.500, 0.000], [0.000, 0.500, 0.500], [0.500, 0.000, 0.500], [0.500, 0.500, 0.500]]
}

---

No. 15
{
  "formula": "Y3GePd",
  "functional": "SCAN",
  "state": "PBEsol geometry",
  "m_tot_mub_per_cell": 2.15,
  "n_ef_per_ev_cell": 7.37,
  "density_g_cm3": 5.00,
  "total_energy_ev_per_cell": -135.7,
  "formation_energy_ev_per_atom": -0.055,
  "lattice": [[5.289, 0.000, 0.000], [0.000, 5.289, 0.000], [0.000, 0.000, 5.289]],
  "species": ["Y", "Y", "Y", "Ge", "Pd"],
  "fractional_positions": [[0.000, 0.000, 0.500], [0.000, 0.500, 0.000], [0.500, 0.000, 0.000], [0.000, 0.000, 0.000], [0.500, 0.500, 0.500]]
}

---

No. 16
{
  "formula": "CuSi2Te",
  "functional": "SCAN",
  "state": "PBEsol geometry",
  "e_form_raw_ev_per_atom": 0.3534,
  "m_tot_mub_per_cell": 0.00,
  "n_ef_per_ev_cell": 1.81,
  "density_g_cm3": 5.79,
  "total_energy_ev_per_cell": -71.1,
  "lattice": [[5.571, -1.833, 0.000], [5.571, 1.833, 0.000], [-1.177, 0.000, 3.469]],
  "species": ["Cu", "Si", "Si", "Te"],
  "fractional_positions": [[0.000, 0.000, 0.000], [0.230, 0.230, 0.229], [0.770, 0.770, 0.771], [0.500, 0.500, 0.500]]
}

---

No. 17
{
  "formula": "CuBBrF2",
  "functional": "SCAN",
  "state": "PBEsol geometry",
  "e_form_raw_ev_per_atom": -0.2926,
  "m_tot_mub_per_cell": 0.00,
  "n_ef_per_ev_cell": 1.46,
  "density_g_cm3": 4.68,
  "total_energy_ev_per_cell": -50.6,
  "lattice": [[3.678, 0.000, 0.000], [0.000, 3.678, 0.000], [0.000, 0.000, 5.037]],
  "species": ["Cu", "B", "Br", "F", "F"],
  "fractional_positions": [[0.000, 0.000, 0.000], [0.000, 0.000, 0.500], [0.500, 0.500, 0.500], [0.000, 0.500, 0.000], [0.500, 0.000, 0.000]]
}

---

No. 18
{
  "formula": "CoRh4",
  "functional": "SCAN",
  "state": "PBEsol geometry",
  "polymorph_energy_ev_per_fu": 0.09,
  "m_tot_mub_per_cell": 2.74,
  "n_ef_per_ev_cell": 5.87,
  "density_g_cm3": 12.12,
  "total_energy_ev_per_cell": -152.2,
  "formation_energy_ev_per_atom": 0.045,
  "lattice": [[-1.322, 1.851, 6.584], [1.322, -1.851, 6.584], [1.322, 1.851, -6.584]],
  "species": ["Co", "Rh", "Rh", "Rh", "Rh"],
  "fractional_positions": [[0.000, 0.000, 0.000], [0.199, 0.199, 0.000], [0.404, 0.404, 0.000], [0.596, 0.596, 0.000], [0.801, 0.801, 0.000]]
}

---

No. 19
{
  "formula": "BePdC3",
  "functional": "SCAN",
  "state": "PBEsol geometry",
  "m_tot_mub_per_cell": 0.00,
  "n_ef_per_ev_cell": 2.01,
  "density_g_cm3": 5.59,
  "total_energy_ev_per_cell": -55.6,
  "formation_energy_ev_per_atom": 2.362,
  "lattice": [[3.557, 0.000, 0.000], [0.000, 3.557, 0.000], [0.000, 0.000, 3.557]],
  "species": ["Be", "Pd", "C", "C", "C"],
  "fractional_positions": [[0.000, 0.000, 0.000], [0.500, 0.500, 0.500], [0.000, 0.000, 0.500], [0.000, 0.500, 0.000], [0.500, 0.000, 0.000]]
}

---

No. 20
{
  "formula": "ZnCdB2O5",
  "functional": "SCAN",
  "state": "PBEsol geometry",
  "e_form_raw_ev_per_atom": -2.1219,
  "m_tot_mub_per_cell": 0.00,
  "n_ef_per_ev_cell": 0.00,
  "density_g_cm3": 4.78,
  "total_energy_ev_per_cell": -436.2,
  "lattice": [[3.374, 0.000, 0.000], [0.000, 6.451, 0.000], [0.000, 0.000, 17.825]],
  "species": ["Zn", "Zn", "Zn", "Zn", "Cd", "Cd", "Cd", "Cd", "B", "B", "B", "B", "B", "B", "B", "B", "O", "O", "O", "O", "O", "O", "O", "O", "O", "O", "O", "O", "O", "O", "O", "O", "O", "O", "O", "O"],
  "fractional_positions": [[0.003, 0.102, 0.288], [0.497, 0.898, 0.788], [0.503, 0.398, 0.712], [0.997, 0.602, 0.212], [0.118, 0.011, 0.975], [0.382, 0.989, 0.475], [0.618, 0.489, 0.025], [0.882, 0.511, 0.525], [0.023, 0.148, 0.617], [0.145, 0.205, 0.142], [0.355, 0.795, 0.642], [0.477, 0.852, 0.117], [0.523, 0.352, 0.383], [0.645, 0.295, 0.858], [0.855, 0.705, 0.358], [0.977, 0.648, 0.883], [0.000, 0.340, 0.652], [0.000, 0.840, 0.848], [0.008, 0.302, 0.206], [0.110, 0.626, 0.954], [0.124, 0.283, 0.071], [0.207, 0.993, 0.659], [0.293, 0.007, 0.159], [0.376, 0.717, 0.571], [0.390, 0.374, 0.454], [0.492, 0.698, 0.706], [0.500, 0.160, 0.348], [0.500, 0.660, 0.152], [0.508, 0.198, 0.794], [0.610, 0.874, 0.046], [0.624, 0.217, 0.929], [0.707, 0.507, 0.341], [0.793, 0.493, 0.841], [0.876, 0.783, 0.429], [0.890, 0.126, 0.546], [0.992, 0.802, 0.294]]
}

---

No. 21
{
  "formula": "MgSc",
  "functional": "SCAN",
  "state": "PBEsol geometry",
  "m_tot_mub_per_cell": 1.31,
  "n_ef_per_ev_cell": 3.72,
  "density_g_cm3": 2.49,
  "total_energy_ev_per_cell": -38.5,
  "formation_energy_ev_per_atom": -0.015,
  "lattice": [[5.890, -1.581, 0.000], [5.890, 1.581, 0.000], [-2.586, 0.000, 4.950]],
  "species": ["Mg", "Mg", "Sc", "Sc"],
  "fractional_positions": [[0.128, 0.128, 0.466], [0.872, 0.872, 0.534], [0.376, 0.376, 0.043], [0.624, 0.624, 0.957]]
}

---

No. 22
{
  "formula": "BeFe3Hg",
  "functional": "SCAN",
  "state": "PBEsol geometry",
  "m_tot_mub_per_cell": 7.74,
  "n_ef_per_ev_cell": 2.08,
  "density_g_cm3": 9.93,
  "total_energy_ev_per_cell": -124.4,
  "formation_energy_ev_per_atom": 0.499,
  "lattice": [[3.980, 0.000, 0.000], [0.000, 3.980, 0.000], [0.000, 0.000, 3.980]],
  "species": ["Be", "Fe", "Fe", "Fe", "Hg"],
  "fractional_positions": [[0.000, 0.000, 0.000], [0.000, 0.000, 0.500], [0.000, 0.500, 0.000], [0.500, 0.000, 0.000], [0.500, 0.500, 0.500]]
}

---

No. 23
{
  "formula": "Li4Mn2Fe3Co3O16",
  "functional": "SCAN",
  "state": "PBEsol geometry",
  "e_form_raw_ev_per_atom": -1.8478,
  "m_tot_mub_per_cell": 11.00,
  "n_ef_per_ev_cell": 1.05,
  "density_g_cm3": 5.02,
  "total_energy_ev_per_cell": -303.8,
  "lattice": [[4.851, -2.782, 0.000], [4.851, 2.782, 0.000], [-0.003, 0.000, 9.043]],
  "species": ["Li", "Li", "Li", "Li", "Mn", "Mn", "Fe", "Fe", "Fe", "Co", "Co", "Co", "O", "O", "O", "O", "O", "O", "O", "O", "O", "O", "O", "O", "O", "O", "O", "O"],
  "fractional_positions": [[0.000, 0.000, 0.000], [0.000, 0.000, 0.499], [0.335, 0.335, 0.604], [0.668, 0.668, 0.100], [0.331, 0.331, 0.006], [0.665, 0.665, 0.509], [0.177, 0.651, 0.282], [0.651, 0.177, 0.282], [0.828, 0.828, 0.781], [0.169, 0.169, 0.284], [0.340, 0.830, 0.783], [0.830, 0.340, 0.783], [0.042, 0.478, 0.157], [0.163, 0.666, 0.895], [0.166, 0.166, 0.899], [0.331, 0.331, 0.393], [0.333, 0.828, 0.397], [0.478, 0.042, 0.157], [0.482, 0.482, 0.151], [0.518, 0.960, 0.655], [0.521, 0.521, 0.657], [0.666, 0.163, 0.895], [0.667, 0.667, 0.889], [0.828, 0.333, 0.397], [0.833, 0.833, 0.394], [0.960, 0.518, 0.655], [0.997, 0.997, 0.193], [0.998, 0.998, 0.692]]
}

---

No. 24
{
  "formula": "YMnIn",
  "functional": "SCAN",
  "state": "PBEsol geometry",
  "m_tot_mub_per_cell": 4.61,
  "n_ef_per_ev_cell": 2.47,
  "density_g_cm3": 5.34,
  "total_energy_ev_per_cell": -78.6,
  "formation_energy_ev_per_atom": 0.288,
  "lattice": [[0.000, 3.426, 3.426], [3.426, 0.000, 3.426], [3.426, 3.426, 0.000]],
  "species": ["Y", "Mn", "In"],
  "fractional_positions": [[0.000, 0.000, 0.000], [0.750, 0.750, 0.750], [0.250, 0.250, 0.250]]
}

---

No. 25
{
  "formula": "YCo2Mo",
  "functional": "SCAN",
  "state": "PBEsol geometry",
  "m_tot_mub_per_cell": 3.21,
  "n_ef_per_ev_cell": 2.97,
  "density_g_cm3": 8.25,
  "total_energy_ev_per_cell": -96.3,
  "formation_energy_ev_per_atom": 0.271,
  "lattice": [[-2.025, 2.343, 3.211], [2.025, -2.343, 3.211], [2.025, 2.343, -3.211]],
  "species": ["Y", "Co", "Co", "Mo"],
  "fractional_positions": [[0.000, 0.000, 0.000], [0.287, 0.787, 0.500], [0.713, 0.213, 0.500], [0.500, 0.500, 0.000]]
}